Entry from the Alexandria database: crystalline TaAl2Cl at its relaxed geometry (PBE-GGA).

The structure belongs to space group Imm2 (No. 44); the cell edges are 2.9072, 5.0822 and 9.9165 Å and the angles 90.00°, 90.00° and 90.00°. Symmetry generates all atoms from Ta at (0.0000, 0.0000, 0.0000), Al at (0.0000, 0.0000, 0.5050), Al at (0.0000, 0.5000, 0.7438) and Cl at (0.0000, 0.5000, 0.2960).

The uncorrected formation energy is -0.006 eV per atom. The magnetic moment comes out at 0.0 μB/cell.